(1)
Entry from the Alexandria database: Li2AcTl4Cd after structural relaxation (PBE).

Structure (CIF):
```
data_Li2AcTl4Cd
_cell_length_a 5.0302
_cell_length_b 5.0302
_cell_length_c 29.5047
_cell_angle_alpha 90.00
_cell_angle_beta 90.00
_cell_angle_gamma 120.00
_symmetry_space_group_name_H-M 'R -3 m'
_symmetry_Int_Tables_number 166
_symmetry_space_group_name_Hall '-R 3 2"'
loop_
_atom_site_label
_atom_site_fract_x
_atom_site_fract_y
_atom_site_fract_z
Li1 0.0000 0.0000 0.2347
Ac1 0.0000 0.0000 0.0000
Tl1 0.0000 0.0000 0.1225
Tl2 0.0000 0.0000 0.3946
Cd1 0.0000 0.0000 0.5000
```

V in Å³ per cell: 646.5
Magnetic moment in μB/atom: 0.00
ΔE_f in eV per formula unit: -1.59

(2)
Entry from the Alexandria database: RbNa2Cd2Sn2 after structural relaxation (PBE).

Structure (CIF):
```
data_RbNa2Cd2Sn2
_cell_length_a 4.9522
_cell_length_b 4.9522
_cell_length_c 32.9313
_cell_angle_alpha 90.00
_cell_angle_beta 90.00
_cell_angle_gamma 120.00
_symmetry_space_group_name_H-M 'R -3 m'
_symmetry_Int_Tables_number 166
_symmetry_space_group_name_Hall '-R 3 2"'
loop_
_atom_site_label
_atom_site_fract_x
_atom_site_fract_y
_atom_site_fract_z
Rb1 0.0000 0.0000 0.0000
Na1 0.0000 0.0000 0.1377
Cd1 0.0000 0.0000 0.2461
Sn1 0.0000 0.0000 0.4208
```

V in Å³ per cell: 699.4
Magnetic moment in μB/atom: 0.00
ΔE_f in eV per formula unit: -1.04

(3)
Entry from the Alexandria database: Hg2IrRh after structural relaxation (PBE).

Structure (CIF):
```
data_Hg2IrRh
_cell_length_a 5.828
_cell_length_b 9.459
_cell_length_c 2.917
_cell_angle_alpha 90.00
_cell_angle_beta 118.64
_cell_angle_gamma 90.00
_symmetry_space_group_name_H-M 'C 1 2/m 1'
_symmetry_Int_Tables_number 12
loop_
_symmetry_equiv_pos_as_xyz
'x,y,z'
'-x,-y,-z'
'-x,y,-z'
'x,-y,z'
'x+1/2,y+1/2,z'
'-x+1/2,-y+1/2,-z'
'-x+1/2,y+1/2,-z'
'x+1/2,-y+1/2,z'
loop_
_atom_site_label
_atom_site_fract_x
_atom_site_fract_y
_atom_site_fract_z
Hg1 0.250 0.250 0.000
Ir1 0.000 0.000 0.500
Rh1 0.000 0.500 0.500
```

V in Å³ per cell: 141.1
Magnetic moment in μB/atom: 0.00
ΔE_f in eV per formula unit: 1.81
E above lowest polymorph in meV per atom: 160

(4)
Entry from the Alexandria database: PrGdTmHg after structural relaxation (PBE).

Structure (CIF):
```
data_PrGdTmHg
_cell_length_a 7.752
_cell_length_b 7.752
_cell_length_c 7.752
_cell_angle_alpha 90.00
_cell_angle_beta 90.00
_cell_angle_gamma 90.00
_symmetry_space_group_name_H-M 'F -4 3 m'
_symmetry_Int_Tables_number 216
_symmetry_space_group_name_Hall 'F -4 2 3'
loop_
_atom_site_label
_atom_site_fract_x
_atom_site_fract_y
_atom_site_fract_z
Pr1 0.000 0.000 0.000
Gd1 0.000 0.000 0.500
Tm1 0.250 0.250 0.250
Hg1 0.250 0.250 0.750
```

V in Å³ per cell: 465.9
Magnetic moment in μB/atom: 1.98
ΔE_f in eV per formula unit: -0.34